First-principles (PBE with a Hubbard U) data for CsAg2MoO4 after structural relaxation, as listed in the Alexandria database.

Unit cell a=6.0790 b=6.0790 c=8.0962 alpha=90.00 beta=90.00 gamma=90.00
Sites, in units of the cell vectors:
Cs: 0.0000 0.0000 0.0000
Cs: 0.5000 0.5000 0.5000
Ag: 0.0000 0.5000 0.2500
Ag: 0.0000 0.5000 0.7500
Ag: 0.5000 0.0000 0.2500
Ag: 0.5000 0.0000 0.7500
Mo: 0.0000 0.0000 0.5000
Mo: 0.5000 0.5000 0.0000
O: 0.1716 0.1716 0.3569
O: 0.1716 0.8284 0.6431
O: 0.3284 0.3284 0.8569
O: 0.3284 0.6716 0.1431
O: 0.6716 0.3284 0.1431
O: 0.6716 0.6716 0.8569
O: 0.8284 0.1716 0.6431
O: 0.8284 0.8284 0.3569

Results
As for the raw total energy: -5.203 eV/atom.